Record 1
KSiAgS3 | PBE | optimized geometry

Cell lengths 6.910, 6.910, 8.448 Å; angles 110.36, 110.36, 63.10 degrees
Atoms (fractional coordinates):
K: 0.197 0.197 0.210
K: 0.803 0.803 0.790
Si: 0.448 0.448 0.738
Si: 0.552 0.552 0.262
Ag: 0.227 0.773 0.500
Ag: 0.773 0.227 0.500
S: 0.205 0.690 0.194
S: 0.260 0.260 0.633
S: 0.310 0.795 0.806
S: 0.690 0.205 0.194
S: 0.740 0.740 0.367
S: 0.795 0.310 0.806

Summary:
Space-group type ... No. 12
Density of states at the Fermi level ... 0.0 states/eV/f.u.

=====

Record 2
ZrCu2Cl8 | PBE | optimized geometry

Cell lengths 7.513, 7.513, 6.102 Å; angles 101.16, 101.16, 91.49 degrees
Atoms (fractional coordinates):
Zr: 0.000 0.000 0.000
Cu: 0.201 0.201 0.678
Cu: 0.799 0.799 0.322
Cl: 0.070 0.741 0.196
Cl: 0.215 0.215 0.319
Cl: 0.259 0.930 0.804
Cl: 0.421 0.421 0.827
Cl: 0.579 0.579 0.173
Cl: 0.741 0.070 0.196
Cl: 0.785 0.785 0.681
Cl: 0.930 0.259 0.804

Summary:
Space-group type ... No. 12

=====

Record 3
CaPr2HoSb4 | PBE | optimized geometry

Cell lengths 7.748, 4.504, 7.860 Å; angles 90.00, 109.50, 90.00 degrees
Atoms (fractional coordinates):
Ca: 0.000 0.000 0.000
Pr: 0.500 0.000 0.500
Pr: 0.500 0.500 0.000
Ho: 0.000 0.500 0.500
Sb: 0.241 0.000 0.742
Sb: 0.244 0.500 0.254
Sb: 0.756 0.500 0.746
Sb: 0.759 0.000 0.258

Summary:
Space-group type ... No. 10
Density of states at the Fermi level ... 4.4 states/eV/f.u.

=====

Record 4
Fe5Co4 | PBE | optimized geometry

Cell lengths 6.207, 6.207, 6.207 Å; angles 153.71, 93.09, 92.84 degrees
Atoms (fractional coordinates):
Fe: 0.000 0.000 0.000
Fe: 0.332 0.000 0.332
Fe: 0.332 0.332 0.000
Fe: 0.668 0.000 0.668
Fe: 0.668 0.668 0.000
Co: 0.000 0.335 0.665
Co: 0.000 0.665 0.335
Co: 0.331 0.665 0.665
Co: 0.669 0.335 0.335

Summary:
Space-group type ... No. 71
Density of states at the Fermi level ... 6.0 states/eV/f.u.
Energy relative to the lowest polymorph listed for this composition ... 0 meV per atom

=====

Record 5
PmEuScAl | PBE | optimized geometry

Cell lengths 5.325, 5.325, 5.325 Å; angles 60.00, 60.00, 60.00 degrees
Atoms (fractional coordinates):
Pm: 0.000 0.000 0.000
Eu: 0.750 0.750 0.750
Sc: 0.500 0.500 0.500
Al: 0.250 0.250 0.250

Summary:
Space-group type ... No. 216
Density of states at the Fermi level ... 6.3 states/eV/f.u.

=====

Record 6
TcPbS3 | PBE | optimized geometry

Cell lengths 4.726, 4.726, 4.726 Å; angles 90.00, 90.00, 90.00 degrees
Atoms (fractional coordinates):
Tc: 0.000 0.000 0.000
Pb: 0.500 0.500 0.500
S: 0.000 0.000 0.500
S: 0.000 0.500 0.000
S: 0.500 0.000 0.000

Summary:
Space-group type ... No. 221
Density of states at the Fermi level ... 4.5 states/eV/f.u.
Energy relative to the lowest polymorph listed for this composition ... 0 meV per atom

=====

Calculated magnetic moment, 0.000, 0.000, 0.000, 2.253, 1.924, 0.309 μB per atom (same order as the records).
Calculated total DFT energy (no corrections), -51.0, -42.4, -41.0, -71.0, -25.2, -26.7 eV for the cell shown (same order as the records).